CdSi2Tc | GGA-PBE | relaxed

Structure (POSCAR):
```
CdSi2Tc
1.0
-1.721 4.153 -2.171
-4.979 0.363 -0.071
3.409 -0.984 3.513
Cd Si Tc
1 2 1
Direct
0.750 0.250 0.500
0.000 0.000 0.000
0.250 0.750 0.500
0.500 0.500 0.000
```

Values from the calculation:
Raw total energy, eV per atom: -5.16
Space group: I-4m2 (119)
Uncorrected formation energy, eV per atom: 0.376
N(E_F), states/eV/f.u.: 3.76
Total magnetization, Bohr magnetons per cell: 0.00